Below is a relaxed structure of BaCa2TlF, with properties calculated at the PBE level.

a b c (Å): 5.200 5.200 5.473
angles (deg): 90.00 90.00 90.00
Fractional positions:
Ba 0.000 0.000 0.500
Ca 0.500 0.000 0.000
Tl 0.500 0.500 0.500
F 0.000 0.000 0.000
Ca 0.000 0.500 0.000

Calculated values
Total magnetic moment = 0.000 μB per cell
Raw total energy = -0.2368 Ry per atom